First-principles (PBE with a Hubbard U) data for CdCoC2O6 after structural relaxation, as listed in Alexandria via LeMat-Bulk.

Cell: 5.981 5.981 5.981 Å, 47.92 47.92 47.92°
Sites, in units of the cell vectors:
Cd 0.000 0.000 0.000
Co 0.500 0.500 0.500
C 0.244 0.244 0.244
C 0.756 0.756 0.756
O 0.033 0.733 0.500
O 0.267 0.500 0.967
O 0.500 0.033 0.733
O 0.500 0.967 0.267
O 0.733 0.500 0.033
O 0.967 0.267 0.500

Summary:
Its electronic total energy is -6.739 eV per atom. The volume is 10.8 A^3/atom. The value obtained for the total magnetization is 2.96 μB/cell. The calculation puts the theoretical density at 4.48 g/cm3.